(1)
A plane-wave DFT calculation with PBE was carried out for a geometry-optimized CaTc2P structure.

Structure (CIF):
```
data_CaTc2P
_symmetry_space_group_name_H-M 'P 1'
_symmetry_Int_Tables_number 1
_symmetry_space_group_name_Hall 'P 1'
_cell_length_a 2.977
_cell_length_b 2.977
_cell_length_c 7.559
_cell_angle_alpha 90.00
_cell_angle_beta 90.00
_cell_angle_gamma 90.00
loop_
_atom_site_label
_atom_site_type_symbol
_atom_site_fract_x
_atom_site_fract_y
_atom_site_fract_z
Ca1 Ca 0.000 0.000 0.000
Tc1 Tc 0.000 0.000 0.456
Tc2 Tc 0.500 0.500 0.687
P1 P 0.500 0.500 0.289
```

Computed properties:
The formation energy comes out at -0.44 eV/f.u. As for the volume: 67.0 Å³/cell. The total magnetization comes out at 0.0 μB per cell. The density of states at the Fermi level is 3.24 states/eV per cell. As for the uncorrected energy: -7.146 eV/atom.



(2)
A plane-wave DFT calculation with PBE was carried out for a geometry-optimized CuAu structure.

Structure (CIF):
```
data_CuAu
_symmetry_space_group_name_H-M 'P 1'
_symmetry_Int_Tables_number 1
_symmetry_space_group_name_Hall 'P 1'
_cell_length_a 3.854
_cell_length_b 3.854
_cell_length_c 5.546
_cell_angle_alpha 90.00
_cell_angle_beta 90.00
_cell_angle_gamma 120.00
loop_
_atom_site_label
_atom_site_type_symbol
_atom_site_fract_x
_atom_site_fract_y
_atom_site_fract_z
Cu1 Cu 0.333 0.667 0.250
Cu2 Cu 0.667 0.333 0.750
Au1 Au 0.000 0.000 0.000
Au2 Au 0.000 0.000 0.500
```

Computed properties:
The formation energy comes out at 0.42 eV/f.u. As for the volume: 71.3 Å³/cell. The total magnetization comes out at 0.0 μB per cell. The density of states at the Fermi level is 1.25 states/eV per cell. As for the uncorrected energy: -3.475 eV/atom.